No. 1
! CoRhO3 (PBE+U, relaxed); values from VASP
! Space group: Pm-3m, No. 221
&SYSTEM
  ibrav = 0, nat = 5, ntyp = 3
/
ATOMIC_SPECIES
Co 58.93 Co.upf
Rh 102.91 Rh.upf
O 16.00 O.upf
ATOMIC_POSITIONS crystal
Co 0.500 0.500 0.500
Rh 0.000 0.000 0.000
O 0.000 0.500 0.000
O 0.000 0.000 0.500
O 0.500 0.000 0.000
CELL_PARAMETERS angstrom
3.859 0.000 0.000
0.000 3.859 0.000
0.000 0.000 3.859



No. 2
! CoRh3O (PBE+U, relaxed); values from VASP
! Space group: Pm-3m, No. 221
&SYSTEM
  ibrav = 0, nat = 5, ntyp = 3
/
ATOMIC_SPECIES
Co 58.93 Co.upf
Rh 102.91 Rh.upf
O 16.00 O.upf
ATOMIC_POSITIONS crystal
Co 0.500 0.500 0.500
Rh 0.000 0.500 0.000
Rh 0.000 0.000 0.500
Rh 0.500 0.000 0.000
O 0.000 0.000 0.000
CELL_PARAMETERS angstrom
-0.740 0.879 3.916
-3.917 0.710 -0.899
-0.875 -3.922 0.715



No. 3
! CoRh3O (PBE+U, relaxed); values from VASP
! Space group: Pm-3m, No. 221
&SYSTEM
  ibrav = 0, nat = 5, ntyp = 3
/
ATOMIC_SPECIES
Co 58.93 Co.upf
Rh 102.91 Rh.upf
O 16.00 O.upf
ATOMIC_POSITIONS crystal
Co 0.000 0.000 0.000
Rh 0.000 0.500 0.000
Rh 0.000 0.000 0.500
Rh 0.500 0.000 0.000
O 0.500 0.500 0.500
CELL_PARAMETERS angstrom
-3.387 2.919 -0.330
-2.583 -2.719 2.457
1.400 2.046 3.736



No. 4
! CoRuRh2O6 (PBE+U, relaxed); values from VASP
! Space group: R3, No. 146
&SYSTEM
  ibrav = 0, nat = 10, ntyp = 4
/
ATOMIC_SPECIES
Co 58.93 Co.upf
Ru 101.07 Ru.upf
Rh 102.91 Rh.upf
O 16.00 O.upf
ATOMIC_POSITIONS crystal
Co 0.810 0.810 0.569
Ru 0.321 0.321 0.036
Rh 0.516 0.516 0.451
Rh 0.011 0.011 0.966
O 0.601 0.228 0.245
O 0.228 0.926 0.245
O 0.926 0.601 0.245
O 0.415 0.720 0.753
O 0.720 0.112 0.753
O 0.112 0.415 0.753
CELL_PARAMETERS angstrom
5.180 0.001 0.000
2.591 4.487 0.000
2.590 1.496 4.699



no.,calculated volume (Å³/cell),DFT total energy (eV/atom)
1,57.46,-5.532
2,67.98,-6.103
3,90.15,-4.728
4,109.20,-6.658